MgCu2: relaxed, PBEsol.

Properties
- total moment (Bohr magnetons per cell) = 0.00
- DFT formation energy (eV/atom) = -0.134
- E_tot (eV for the cell shown) = -21.57
- space group = Fd-3m
- volume (A^3/atom) = 13.8

Geometry as POSCAR:
```
MgCu2
1.0
0.000 3.458 3.458
3.458 0.000 3.458
3.458 3.458 0.000
Mg Cu
2 4
direct
0.125 0.125 0.125
0.875 0.875 0.875
0.000 0.500 0.500
0.500 0.000 0.500
0.500 0.500 0.000
0.500 0.500 0.500
```